Entry 1:
Compound: Pr4NdIn
Source: the Alexandria database
Functional: PBE
Structure: relaxed

```
Pr4NdIn
1.0
-3.545 -0.899 -0.551
1.038 -3.315 -1.270
-0.748 -5.537 13.848
Pr Nd In
4 1 1
Cartesian
-1.386 -3.082 1.528
-0.482 -3.569 8.926
-0.266 -1.968 4.922
-1.870 -6.669 10.499
0.000 0.000 0.000
-1.628 -4.876 6.014
```

Results
relative energy among the computed polymorphs	0	meV per atom
formation energy from the elements	-13.7	kJ/mol of atoms
spin magnetization	0.000	μB per formula unit
symmetry	P4/mmm (123)

=====

Entry 2:
Compound: Tb2PaC
Source: the Alexandria database
Functional: PBE
Structure: relaxed

```
Tb2PaC
1.0
-2.459 2.285 0.550
-3.231 -0.769 -0.735
-3.101 -2.932 8.826
C Pa Tb
1 1 2
Cartesian
-4.396 -0.708 4.321
0.000 0.000 0.000
-2.674 -1.713 5.674
-6.118 0.297 2.968
```

Results
formation energy from the elements	12.0	kJ/mol of atoms
spin magnetization	0.140	μB per formula unit
symmetry	R-3m (166)

=====

Entry 3:
Compound: Rb2HI
Source: the Alexandria database
Functional: PBE
Structure: relaxed

```
Rb2HI
1.0
4.695 0.000 0.000
2.347 4.066 0.000
2.347 1.355 8.258
Rb H I
2 1 1
Cartesian
2.347 1.355 6.560
2.347 1.355 1.703
7.042 4.066 8.237
4.695 2.710 4.146
```

Results
relative energy among the computed polymorphs	15	meV per atom
spin magnetization	0.045	μB per formula unit
symmetry	R3m (160)

=====

Entry 4:
Compound: Pm2Pr3Sm5
Source: the Alexandria database
Functional: PBE
Structure: relaxed

```
Pm2Pr3Sm5
1.0
-4.772 -3.785 7.223
-5.879 1.051 -7.327
7.303 -6.233 -2.625
Pm Pr Sm
4 6 10
Cartesian
0.699 -8.298 4.966
-4.047 -0.670 -7.695
-0.147 -4.890 -5.333
-3.202 -4.077 2.604
-1.105 -1.284 1.687
-2.243 -7.683 -4.415
-3.442 -3.033 -0.368
0.094 -5.935 -2.361
-3.833 -1.613 -4.687
0.485 -7.354 1.959
3.071 -6.272 -4.348
-6.419 -2.696 1.619
-5.645 -5.669 0.572
-0.304 -4.364 0.602
2.297 -3.298 -3.301
-3.044 -4.604 -3.331
-2.381 -7.292 -0.099
-0.967 -1.675 -2.630
2.924 -5.857 -0.254
-6.272 -3.110 -2.475
```

Results
relative energy among the computed polymorphs	0	meV per atom
formation energy from the elements	17.1	kJ/mol of atoms
spin magnetization	0.000	μB per formula unit
symmetry	C2/c (15)

=====

no.,density of states at the Fermi level (states/eV per cell),final energy (eV per atom)
1,7.870,-4.58
2,5.318,-6.87
3,0.000,-2.48
4,34.650,-4.57